Record 1
Material: Sc5As2O
Method: DFT, PBE-GGA
State: relaxed

Cell lengths 7.8489, 7.0492, 5.0537 Å; angles 78.97, 61.83, 39.20 degrees
Sites, in units of the cell vectors:
Sc 0.0000 0.0000 0.0000
Sc 0.2089 0.5422 0.4578
Sc 0.4578 0.7911 0.2089
Sc 0.5422 0.2089 0.7911
Sc 0.7911 0.4578 0.5422
As 0.1925 0.1925 0.8075
As 0.8075 0.8075 0.1925
O 0.5000 0.5000 0.5000

Results
Energy relative to the elements, uncorrected ... -1225 meV per atom

=====

Record 2
Material: TaTlW
Method: DFT, PBE-GGA
State: relaxed

Cell lengths 4.9875, 3.3415, 7.1487 Å; angles 90.00, 100.98, 90.00 degrees
Sites, in units of the cell vectors:
Ta 0.0000 0.0000 0.0000
Ta 0.5000 0.5000 0.0000
Tl 0.2030 0.5000 0.3609
Tl 0.7030 0.0000 0.3609
W 0.4237 0.0000 0.7111
W 0.9237 0.5000 0.7111

Results
Energy of formation ... 503.8 meV per atom
Distance to the lowest polymorph of the same formula ... 137 meV/atom

=====

What is the formula in the first record? Sc5As2O